CsHfAsSe2: optimized geometry, PBE-GGA.

Polymorph energy (0 for the lowest one) ... 2.376 eV per atom
Energy relative to the elements, uncorrected ... 1601 meV/atom
Total magnetization ... 0.001 Bohr magnetons per cell

a = 5.4753 Å, b = 5.4753 Å, c = 5.6612 Å
α = 90.00°, β = 90.00°, γ = 90.00°
Space group P4/mmm (No. 123)
Asymmetric unit:
Cs 0.0000 0.0000 0.0000
Hf 0.5000 0.5000 0.5000
As 0.0000 0.0000 0.5000
Se 0.0000 0.5000 0.0000

RbNiAg2Br8: optimized geometry, PBE-GGA.

Energy relative to the elements, uncorrected ... -436 meV/atom
Total magnetization ... 0.006 Bohr magnetons per cell

a = 6.2510 Å, b = 6.3445 Å, c = 10.0898 Å
α = 86.22°, β = 72.21°, γ = 86.07°
Space group P-1 (No. 2)
Asymmetric unit:
Rb 0.0000 0.0000 0.0000
Ni 0.0000 0.0000 0.5000
Ag 0.4266 0.4856 0.6886
Br 0.0973 0.7795 0.6817
Br 0.2732 0.4886 0.9645
Br 0.2731 0.8354 0.3018
Br 0.2785 0.2614 0.5057

BeAl2Rh2: optimized geometry, PBE-GGA.

Formation energy from the elements ... -12.35 kcal/mol of atoms
Polymorph energy (0 for the lowest one) ... 0.060 eV per atom
Total magnetization ... 0.000 Bohr magnetons per cell

a = 6.9456 Å, b = 6.9456 Å, c = 2.8852 Å
α = 90.00°, β = 90.00°, γ = 90.00°
Space group P4/mbm (No. 127)
Asymmetric unit:
Be 0.0000 0.0000 0.0000
Al 0.1370 0.3630 0.0000
Rh 0.1624 0.6624 0.5000

BeSiTcRh: optimized geometry, PBE-GGA.

Energy relative to the elements, uncorrected ... -539 meV/atom
Total magnetization ... 0.000 Bohr magnetons per cell

a = 5.7709 Å, b = 5.7709 Å, c = 5.7709 Å
α = 90.00°, β = 90.00°, γ = 90.00°
Space group F-43m (No. 216)
Asymmetric unit:
Be 0.0000 0.0000 0.0000
Si 0.0000 0.0000 0.5000
Tc 0.2500 0.2500 0.2500
Rh 0.2500 0.2500 0.7500

Li2Co2As2H: optimized geometry, PBE-GGA.

DFT total energy ... -4.81 eV per atom
Total magnetization ... 1.039 Bohr magnetons per cell

a = 3.7087 Å, b = 3.7087 Å, c = 12.5871 Å
α = 90.00°, β = 90.00°, γ = 90.00°
Space group I4/mmm (No. 139)
Asymmetric unit:
Li 0.0000 0.0000 0.1645
Co 0.0000 0.5000 0.0000
As 0.0000 0.0000 0.3774
H 0.0000 0.0000 0.0000

Pm3NdMg3: optimized geometry, PBE-GGA.

Formation energy from the elements ... 1.93 kcal/mol of atoms
Total magnetization ... 3.551 Bohr magnetons per cell

a = 7.3387 Å, b = 10.7903 Å, c = 10.9006 Å
α = 90.00°, β = 91.90°, γ = 90.00°
Space group C2/m (No. 12)
Asymmetric unit:
Pm 0.0000 0.1748 0.0000
Pm 0.0000 0.2286 0.5000
Pm 0.0390 0.5000 0.8366
Nd 0.2103 0.5000 0.4887
Mg 0.0006 0.0000 0.7418
Mg 0.2410 0.2584 0.2499

Pm3Hg2Pd7: optimized geometry, PBE-GGA.

Formation energy from the elements ... -13.37 kcal/mol of atoms
Total magnetization ... 0.000 Bohr magnetons per cell

a = 4.2014 Å, b = 4.0404 Å, c = 15.1274 Å
α = 90.00°, β = 97.93°, γ = 90.00°
Space group P2/m (No. 10)
Asymmetric unit:
Pm 0.0000 0.0000 0.0000
Pm 0.3109 0.5000 0.6205
Hg 0.1321 0.0000 0.2645
Pd 0.0696 0.5000 0.1397
Pd 0.2227 0.0000 0.4454
Pd 0.4291 0.0000 0.8577
Pd 0.5000 0.5000 0.0000

LiBeCrRu: optimized geometry, PBE-GGA.

Formation energy from the elements ... 1.04 kcal/mol of atoms
Total magnetization ... 0.001 Bohr magnetons per cell

a = 5.6619 Å, b = 5.6619 Å, c = 5.6619 Å
α = 90.00°, β = 90.00°, γ = 90.00°
Space group F-43m (No. 216)
Asymmetric unit:
Li 0.0000 0.0000 0.0000
Be 0.2500 0.2500 0.2500
Cr 0.2500 0.2500 0.7500
Ru 0.0000 0.0000 0.5000

Sr2Zr2In: optimized geometry, PBE-GGA.

Formation energy from the elements ... 7.20 kcal/mol of atoms
Polymorph energy (0 for the lowest one) ... 0.000 eV per atom
Total magnetization ... 0.000 Bohr magnetons per cell

a = 7.6268 Å, b = 7.6268 Å, c = 5.5529 Å
α = 90.00°, β = 90.00°, γ = 90.00°
Space group P4/mbm (No. 127)
Asymmetric unit:
Sr 0.1737 0.3263 0.0000
Zr 0.1304 0.6304 0.5000
In 0.0000 0.0000 0.5000

Pu2MgAl3Au4: optimized geometry, PBE-GGA.

Formation energy from the elements ... -10.85 kcal/mol of atoms
Total magnetization ... 11.644 Bohr magnetons per cell

a = 4.3841 Å, b = 4.3841 Å, c = 10.8596 Å
α = 90.00°, β = 90.00°, γ = 90.00°
Space group P-4m2 (No. 115)
Asymmetric unit:
Pu 0.0000 0.5000 0.2408
Mg 0.0000 0.0000 0.5000
Al 0.0000 0.5000 0.8715
Al 0.5000 0.5000 0.5000
Au 0.0000 0.0000 0.0000
Au 0.0000 0.5000 0.6405
Au 0.5000 0.5000 0.0000

Y3NiBi: optimized geometry, PBE-GGA.

Formation energy from the elements ... -9.00 kcal/mol of atoms
Polymorph energy (0 for the lowest one) ... 0.055 eV per atom
Total magnetization ... 0.000 Bohr magnetons per cell

a = 5.2351 Å, b = 5.2351 Å, c = 5.2351 Å
α = 90.00°, β = 90.00°, γ = 90.00°
Space group Pm-3m (No. 221)
Asymmetric unit:
Y 0.0000 0.0000 0.5000
Ni 0.0000 0.0000 0.0000
Bi 0.5000 0.5000 0.5000

K5Tc3: optimized geometry, PBE-GGA.

Formation energy from the elements ... 31.35 kcal/mol of atoms
Total magnetization ... 9.780 Bohr magnetons per cell

a = 11.7238 Å, b = 11.7238 Å, c = 4.9107 Å
α = 90.00°, β = 90.00°, γ = 120.00°
Space group P6_3/mcm (No. 193)
Asymmetric unit:
K 0.0000 0.2532 0.2500
K 0.3333 0.6667 0.0000
Tc 0.0000 0.4767 0.7500

Ce7In2Au2: optimized geometry, PBE-GGA.

Formation energy from the elements ... -4.02 kcal/mol of atoms
Total magnetization ... 10.658 Bohr magnetons per cell

a = 8.5451 Å, b = 11.2265 Å, c = 6.8531 Å
α = 90.00°, β = 90.00°, γ = 90.00°
Space group Cmmm (No. 65)
Asymmetric unit:
Ce 0.0000 0.0000 0.0000
Ce 0.0000 0.5000 0.2970
Ce 0.2500 0.2500 0.2976
In 0.1598 0.0000 0.5000
Au 0.0000 0.2885 0.0000

LiZnRe2: optimized geometry, PBE-GGA.

Formation energy from the elements ... 4.54 kcal/mol of atoms
Total magnetization ... 0.000 Bohr magnetons per cell

a = 8.7975 Å, b = 2.6532 Å, c = 4.9784 Å
α = 90.00°, β = 95.21°, γ = 90.00°
Space group Cm (No. 8)
Asymmetric unit:
Li 0.0000 0.0000 0.0000
Zn 0.2442 0.0000 0.8022
Re 0.0103 0.5000 0.4961
Re 0.2573 0.5000 0.2931

BaBi2Au4: optimized geometry, PBE-GGA.

Formation energy from the elements ... -6.94 kcal/mol of atoms
Total magnetization ... 0.000 Bohr magnetons per cell

a = 9.0043 Å, b = 9.0043 Å, c = 9.2042 Å
α = 90.00°, β = 90.00°, γ = 90.00°
Space group I4/mcm (No. 140)
Asymmetric unit:
Ba 0.0000 0.0000 0.2500
Bi 0.1506 0.3494 0.0000
Au 0.1481 0.3519 0.3347